Entry from Alexandria: PuZn3Ag after structural relaxation (GGA-PBE).

Unit cell a=5.6964 b=5.4757 c=6.0573 alpha=90.00 beta=88.60 gamma=90.00
Closest atoms and distances in Å follow each position.
Fractional positions:
1 Pu 0.6481 0.7500 0.3642  8 Zn 3.00-3.36, 4 Ag 3.17-3.35
2 Pu 0.3519 0.2500 0.6358  8 Zn 3.00-3.36, 4 Ag 3.17-3.35
3 Zn 0.8518 0.9974 0.8294  5 Zn 2.66-2.77, 2 Ag 2.73-2.74
4 Zn 0.1482 0.0026 0.1706  5 Zn 2.66-2.77, 2 Ag 2.73-2.74
5 Zn 0.8518 0.5026 0.8294  5 Zn 2.66-2.77, 2 Ag 2.73-2.74
6 Zn 0.1482 0.4974 0.1706  5 Zn 2.66-2.77, 2 Ag 2.73-2.74
7 Zn 0.1315 0.7500 0.5509  4 Zn 2.66-2.69, 1 Ag 2.70
8 Zn 0.8685 0.2500 0.4491  4 Zn 2.66-2.69, 1 Ag 2.70
9 Ag 0.4375 0.7500 0.8848  5 Zn 2.70-2.74
10 Ag 0.5625 0.2500 0.1152  5 Zn 2.70-2.74

Results
Energy relative to the lowest polymorph listed for this composition ... 38 meV/atom
Space-group type ... P2_1/m
Calculated volume ... 18.9 A^3/atom
E_form ... -69 meV/atom